# 1
Here is a relaxed YPuIn2Se4 crystal from the Alexandria database. Energies are from PBE-GGA.

POSCAR file:
```
YPuIn2Se4
1.0
4.184 0.000 0.000
0.000 7.250 0.122
0.000 -2.538 7.652
Y Pu In Se
1 1 2 4
Direct
0.000 0.000 0.000
0.500 0.500 0.000
0.500 0.000 0.500
0.000 0.500 0.500
0.500 0.233 0.210
0.500 0.767 0.790
0.000 0.262 0.791
0.000 0.738 0.209
```

Calculated values
As for the final energy: -49.450 eV/cell. The total magnetic moment is 5.01 μB per cell. As for the formation energy (no corrections): -1.155 eV per atom.

# 2
Here is a relaxed PuInSi4 crystal from the Alexandria database. Energies are from PBE-GGA.

POSCAR file:
```
PuInSi4
1.0
-0.355 0.058 -5.278
-2.637 -3.835 -2.516
-4.631 1.061 -2.328
Si In Pu
4 1 1
Direct
0.626 0.626 0.123
0.626 0.123 0.626
0.626 0.626 0.626
0.123 0.626 0.626
0.000 0.000 0.000
0.250 0.250 0.250
```

Calculated values
As for the final energy: -39.120 eV/cell. The total magnetic moment is 5.63 μB per cell. As for the formation energy (no corrections): -0.060 eV per atom.

# 3
Here is a relaxed Pu6InSi crystal from the Alexandria database. Energies are from PBE-GGA.

POSCAR file:
```
Pu6InSi
1.0
4.436 0.000 0.000
0.000 4.436 0.000
0.000 0.000 9.146
Pu In Si
6 1 1
Direct
0.500 0.500 0.000
0.500 0.500 0.500
0.500 0.000 0.268
0.500 0.000 0.732
0.000 0.500 0.268
0.000 0.500 0.732
0.000 0.000 0.000
0.000 0.000 0.500
```

Calculated values
As for the final energy: -94.877 eV/cell. The total magnetic moment is 10.61 μB per cell. As for the formation energy (no corrections): -0.091 eV per atom.

# 4
Here is a relaxed PuIn2Si crystal from the Alexandria database. Energies are from PBE-GGA.

POSCAR file:
```
PuIn2Si
1.0
-1.787 -4.469 0.127
3.081 -1.310 -2.725
2.564 -0.930 3.346
Si In Pu
1 2 1
Direct
0.500 0.500 0.500
0.000 0.000 0.500
0.000 0.500 0.000
0.500 0.000 0.000
```

Calculated values
As for the final energy: -25.950 eV/cell. The total magnetic moment is 5.47 μB per cell. As for the formation energy (no corrections): -0.179 eV per atom.